Version w
Computed, not measured: a relaxed structure of Hf2ScTaH at the GGA-PBE level of DFT.

Lattice parameters (Å, degrees): 4.4421 4.4421 4.3934 90.00 90.00 90.00
Space group P4/mmm (No. 123)
Inequivalent atoms, fractional coordinates:
Hf1 0.0000 0.5000 0.0000 [2 per cell]
Sc1 0.0000 0.0000 0.5000 [1 per cell]
Ta1 0.5000 0.5000 0.5000 [1 per cell]
H1 0.0000 0.0000 0.0000 [1 per cell]

Its mass density is 11.2 g/cm3. The volume is 86.7 Å³/cell.

=====

Version x
Computed, not measured: a relaxed structure of Hf2ScTaH at the GGA-PBE level of DFT.

Lattice parameters (Å, degrees): 4.6728 4.6728 3.9800 90.00 90.00 90.00
Space group P4/mmm (No. 123)
Inequivalent atoms, fractional coordinates:
Hf1 0.0000 0.5000 0.0000 [2 per cell]
Sc1 0.0000 0.0000 0.5000 [1 per cell]
Ta1 0.5000 0.5000 0.5000 [1 per cell]
H1 0.5000 0.5000 0.0000 [1 per cell]

Its mass density is 11.2 g/cm3. The volume is 86.9 Å³/cell.

=====

Most stable to least stable, the ends of the list are version w and version x.

=====

Version w
Computed, not measured: a relaxed structure of HfScTi2H at the GGA-PBE level of DFT.

Lattice parameters (Å, degrees): 4.2852 4.2852 4.3777 90.00 90.00 90.00
Space group P4/mmm (No. 123)
Inequivalent atoms, fractional coordinates:
Hf1 0.0000 0.0000 0.0000 [1 per cell]
Sc1 0.5000 0.5000 0.0000 [1 per cell]
Ti1 0.0000 0.5000 0.5000 [2 per cell]
H1 0.5000 0.5000 0.5000 [1 per cell]

Its mass density is 6.6 g/cm3. The volume is 80.4 Å³/cell.

=====

Version x
Computed, not measured: a relaxed structure of HfScTi2H at the GGA-PBE level of DFT.

Lattice parameters (Å, degrees): 4.3215 4.3215 4.3366 90.00 90.00 90.00
Space group P4/mmm (No. 123)
Inequivalent atoms, fractional coordinates:
Hf1 0.0000 0.0000 0.0000 [1 per cell]
Sc1 0.5000 0.5000 0.0000 [1 per cell]
Ti1 0.0000 0.5000 0.5000 [2 per cell]
H1 0.0000 0.0000 0.5000 [1 per cell]

Its mass density is 6.6 g/cm3. The volume is 81.0 Å³/cell.

=====

Most stable to least stable, the ends of the list are version w and version x.

=====

Version w
Computed, not measured: a relaxed structure of HfSc2TlH at the GGA-PBE level of DFT.

Lattice parameters (Å, degrees): 4.5031 4.5031 4.4220 90.00 90.00 90.00
Space group P4/mmm (No. 123)
Inequivalent atoms, fractional coordinates:
Hf1 0.0000 0.0000 0.0000 [1 per cell]
Sc1 0.0000 0.5000 0.5000 [2 per cell]
Tl1 0.5000 0.5000 0.0000 [1 per cell]
H1 0.0000 0.0000 0.5000 [1 per cell]

Its mass density is 8.8 g/cm3. The volume is 89.7 Å³/cell.

=====

Version x
Computed, not measured: a relaxed structure of HfSc2TlH at the GGA-PBE level of DFT.

Lattice parameters (Å, degrees): 5.5884 5.5884 3.5810 90.00 90.00 90.00
Space group P4/mmm (No. 123)
Inequivalent atoms, fractional coordinates:
Hf1 0.0000 0.0000 0.0000 [1 per cell]
Sc1 0.0000 0.5000 0.0000 [2 per cell]
Tl1 0.5000 0.5000 0.5000 [1 per cell]
H1 0.0000 0.0000 0.5000 [1 per cell]

Its mass density is 7.0 g/cm3. The volume is 111.8 Å³/cell.

=====

Most stable to least stable, the ends of the list are version w and version x.

=====

Version w
Computed, not measured: a relaxed structure of HfH2Se at the GGA-PBE level of DFT.

Lattice parameters (Å, degrees): 3.3929 18.0755 3.4670 90.00 90.00 90.00
Space group Cmcm (No. 63)
Inequivalent atoms, fractional coordinates:
Hf1 0.0000 0.0861 0.2500 [4 per cell]
H1 0.0000 0.0266 0.7500 [4 per cell]
H2 0.0000 0.4615 0.7500 [4 per cell]
Se1 0.0000 0.3373 0.2500 [4 per cell]

Its mass density is 8.1 g/cm3. The volume is 212.6 Å³/cell.

=====

Version x
Computed, not measured: a relaxed structure of HfH2Se at the GGA-PBE level of DFT.

Lattice parameters (Å, degrees): 3.9731 3.9731 12.9799 90.00 90.00 90.00
Space group I4_1/amd (No. 141, origin choice 2)
Inequivalent atoms, fractional coordinates:
Hf1 0.0000 0.2500 0.3750 [4 per cell]
H1 0.0000 0.0000 0.5000 [8 per cell]
Se1 0.0000 0.2500 0.8750 [4 per cell]

Its mass density is 8.4 g/cm3. The volume is 204.9 Å³/cell.

=====

Version y
Computed, not measured: a relaxed structure of HfH2Se at the GGA-PBE level of DFT.

Lattice parameters (Å, degrees): 3.4290 9.5230 6.1311 90.00 90.00 90.00
Space group Cmc2_1 (No. 36)
Inequivalent atoms, fractional coordinates:
Hf1 0.0000 0.0755 0.0000 [4 per cell]
H1 0.0000 0.0842 0.3098 [4 per cell]
H2 0.0000 0.3559 0.6099 [4 per cell]
Se1 0.0000 0.3639 0.1459 [4 per cell]

Its mass density is 8.6 g/cm3. The volume is 200.2 Å³/cell.

=====

Most stable to least stable, the ends of the list are version y and version x.

=====

Version w
Computed, not measured: a relaxed structure of HfH2Se at the GGA-PBE level of DFT.

Lattice parameters (Å, degrees): 5.6733 5.6733 5.6733 90.00 90.00 90.00
Space group Fm-3m (No. 225)
Inequivalent atoms, fractional coordinates:
Hf1 0.0000 0.0000 0.0000 [4 per cell]
H1 0.2500 0.2500 0.2500 [8 per cell]
Se1 0.0000 0.0000 0.5000 [4 per cell]

Its mass density is 9.4 g/cm3. The volume is 182.6 Å³/cell.

=====

Version x
Computed, not measured: a relaxed structure of HfH2Se at the GGA-PBE level of DFT.

Lattice parameters (Å, degrees): 9.7204 3.4763 5.9920 90.00 106.65 90.00
Space group Cm (No. 8)
Inequivalent atoms, fractional coordinates:
Hf1 0.0000 0.0000 0.0000 [2 per cell]
Hf2 0.1794 0.0000 0.5771 [2 per cell]
H1 0.0074 0.0000 0.6780 [2 per cell]
H2 0.1736 0.0000 0.2504 [2 per cell]
H3 0.2699 0.5000 0.5188 [2 per cell]
H4 0.3992 0.0000 0.8146 [2 per cell]
Se1 0.2052 0.5000 0.9424 [2 per cell]
Se2 0.4672 0.0000 0.3352 [2 per cell]

Its mass density is 8.9 g/cm3. The volume is 194.0 Å³/cell.

=====

Version y
Computed, not measured: a relaxed structure of HfH2Se at the GGA-PBE level of DFT.

Lattice parameters (Å, degrees): 3.4570 3.4570 13.7037 90.00 90.00 120.00
Space group R-3m (No. 166, hexagonal axes)
Inequivalent atoms, fractional coordinates:
Hf1 0.0000 0.0000 0.0000 [3 per cell]
H1 0.0000 0.0000 0.1381 [6 per cell]
Se1 0.0000 0.0000 0.5000 [3 per cell]

Its mass density is 9.1 g/cm3. The volume is 141.8 Å³/cell.

=====

Version z
Computed, not measured: a relaxed structure of HfH2Se at the GGA-PBE level of DFT.

Lattice parameters (Å, degrees): 3.4882 3.4882 29.8335 90.00 90.00 120.00
Space group R-3m (No. 166, hexagonal axes)
Inequivalent atoms, fractional coordinates:
Hf1 0.0000 0.0000 0.1153 [6 per cell]
H1 0.0000 0.0000 0.1846 [6 per cell]
H2 0.0000 0.0000 0.4579 [6 per cell]
Se1 0.0000 0.0000 0.2767 [6 per cell]

Its mass density is 8.2 g/cm3. The volume is 314.4 Å³/cell.

=====

Most stable to least stable, the ends of the list are version z and version y.

=====

Version w
Computed, not measured: a relaxed structure of HfH3Se at the GGA-PBE level of DFT.

Lattice parameters (Å, degrees): 3.7947 3.7947 3.7947 90.00 90.00 90.00
Space group Pm-3m (No. 221)
Inequivalent atoms, fractional coordinates:
Hf1 0.0000 0.0000 0.0000 [1 per cell]
H1 0.0000 0.0000 0.5000 [3 per cell]
Se1 0.5000 0.5000 0.5000 [1 per cell]

Its mass density is 7.9 g/cm3. The volume is 54.6 Å³/cell.

=====

Version x
Computed, not measured: a relaxed structure of HfH3Se at the GGA-PBE level of DFT.

Lattice parameters (Å, degrees): 3.7281 3.7281 3.7281 90.00 90.00 90.00
Space group Pm-3m (No. 221)
Inequivalent atoms, fractional coordinates:
Hf1 0.0000 0.0000 0.0000 [1 per cell]
H1 0.0000 0.5000 0.5000 [3 per cell]
Se1 0.5000 0.5000 0.5000 [1 per cell]

Its mass density is 8.3 g/cm3. The volume is 51.8 Å³/cell.

=====

Most stable to least stable, the ends of the list are version w and version x.

=====

Version w
Computed, not measured: a relaxed structure of Hf2HSe at the GGA-PBE level of DFT.

Lattice parameters (Å, degrees): 3.4742 3.4742 20.6197 90.00 90.00 120.00
Space group R3m (No. 160, hexagonal axes)
Inequivalent atoms, fractional coordinates:
Hf1 0.0000 0.0000 0.0000 [3 per cell]
Hf2 0.0000 0.0000 0.4502 [3 per cell]
H1 0.0000 0.0000 0.3504 [3 per cell]
Se1 0.0000 0.0000 0.8697 [3 per cell]

Its mass density is 10.1 g/cm3. The volume is 215.5 Å³/cell.

=====

Version x
Computed, not measured: a relaxed structure of Hf2HSe at the GGA-PBE level of DFT.

Lattice parameters (Å, degrees): 6.3786 6.3786 6.1521 90.00 90.00 90.00
Space group I-42d (No. 122)
Inequivalent atoms, fractional coordinates:
Hf1 0.1611 0.2500 0.1250 [8 per cell]
H1 0.0000 0.0000 0.0000 [4 per cell]
Se1 0.0000 0.0000 0.5000 [4 per cell]

Its mass density is 11.6 g/cm3. The volume is 250.3 Å³/cell.

=====

Most stable to least stable, the ends of the list are version w and version x.

=====

Version w
Computed, not measured: a relaxed structure of HfHSe2 at the GGA-PBE level of DFT.

Lattice parameters (Å, degrees): 6.4929 6.4929 6.4929 90.00 90.00 90.00
Space group Fm-3m (No. 225)
Inequivalent atoms, fractional coordinates:
Hf1 0.0000 0.0000 0.0000 [4 per cell]
H1 0.0000 0.0000 0.5000 [4 per cell]
Se1 0.2500 0.2500 0.2500 [8 per cell]

Its mass density is 8.2 g/cm3. The volume is 273.7 Å³/cell.

=====

Version x
Computed, not measured: a relaxed structure of HfHSe2 at the GGA-PBE level of DFT.

Lattice parameters (Å, degrees): 3.7438 3.7438 20.2240 90.00 90.00 120.00
Space group R-3m (No. 166, hexagonal axes)
Inequivalent atoms, fractional coordinates:
Hf1 0.0000 0.0000 0.0000 [3 per cell]
H1 0.0000 0.0000 0.5000 [3 per cell]
Se1 0.0000 0.0000 0.4125 [6 per cell]

Its mass density is 6.8 g/cm3. The volume is 245.5 Å³/cell.

=====

Version y
Computed, not measured: a relaxed structure of HfHSe2 at the GGA-PBE level of DFT.

Lattice parameters (Å, degrees): 5.6611 5.6611 10.9051 90.00 90.00 90.00
Space group I-42d (No. 122)
Inequivalent atoms, fractional coordinates:
Hf1 0.0000 0.0000 0.0000 [4 per cell]
H1 0.0000 0.0000 0.5000 [4 per cell]
Se1 0.2116 0.2500 0.6250 [8 per cell]

Its mass density is 6.4 g/cm3. The volume is 349.5 Å³/cell.

=====

Version z
Computed, not measured: a relaxed structure of HfHSe2 at the GGA-PBE level of DFT.

Lattice parameters (Å, degrees): 7.1407 3.1776 7.4312 90.00 105.34 90.00
Space group P2_1/m (No. 11)
Inequivalent atoms, fractional coordinates:
Hf1 0.0400 0.2500 0.2600 [2 per cell]
H1 0.1059 0.2500 0.7769 [2 per cell]
Se1 0.2494 0.7500 0.0732 [2 per cell]
Se2 0.2487 0.7500 0.5534 [2 per cell]

Its mass density is 6.9 g/cm3. The volume is 162.6 Å³/cell.

=====

Most stable to least stable, the ends of the list are version z and version w.

=====

Version w
Computed, not measured: a relaxed structure of Hf2SiH at the GGA-PBE level of DFT.

Lattice parameters (Å, degrees): 5.0737 3.7723 6.4977 90.00 103.39 90.00
Space group Cm (No. 8)
Inequivalent atoms, fractional coordinates:
Hf1 0.0000 0.0000 0.0000 [2 per cell]
Hf2 0.1666 0.5000 0.4033 [2 per cell]
Si1 0.3042 0.0000 0.6942 [2 per cell]
H1 0.1485 0.5000 0.0918 [2 per cell]

Its mass density is 10.6 g/cm3. The volume is 121.0 Å³/cell.

=====

Version x
Computed, not measured: a relaxed structure of Hf2SiH at the GGA-PBE level of DFT.

Lattice parameters (Å, degrees): 6.3192 6.3192 6.0884 90.00 90.00 90.00
Space group I-42d (No. 122)
Inequivalent atoms, fractional coordinates:
Hf1 0.1756 0.2500 0.1250 [8 per cell]
Si1 0.0000 0.0000 0.5000 [4 per cell]
H1 0.0000 0.0000 0.0000 [4 per cell]

Its mass density is 10.5 g/cm3. The volume is 243.1 Å³/cell.

=====

Version y
Computed, not measured: a relaxed structure of Hf2SiH at the GGA-PBE level of DFT.

Lattice parameters (Å, degrees): 6.5236 6.5236 5.4282 90.00 90.00 90.00
Space group I4/mcm (No. 140)
Inequivalent atoms, fractional coordinates:
Hf1 0.1636 0.3364 0.0000 [8 per cell]
Si1 0.0000 0.0000 0.2500 [4 per cell]
H1 0.0000 0.5000 0.2500 [4 per cell]

Its mass density is 11.1 g/cm3. The volume is 231.0 Å³/cell.

=====

Version z
Computed, not measured: a relaxed structure of Hf2SiH at the GGA-PBE level of DFT.

Lattice parameters (Å, degrees): 6.2993 6.2993 6.2993 90.00 90.00 90.00
Space group Fm-3m (No. 225)
Inequivalent atoms, fractional coordinates:
Hf1 0.2500 0.2500 0.2500 [8 per cell]
Si1 0.0000 0.0000 0.0000 [4 per cell]
H1 0.0000 0.0000 0.5000 [4 per cell]

Its mass density is 10.3 g/cm3. The volume is 250.0 Å³/cell.

=====

Most stable to least stable, the ends of the list are version y and version z.